No. 1
This record from Alexandria via LeMat-Bulk describes a relaxed structure of TePSI2. The functional is PBE.

The structure belongs to space group P4/mmm (No. 123); the cell edges are 5.351, 5.351 and 5.468 Å and the angles 90.00°, 90.00° and 90.00°. The distinct sites, in fractional coordinates, are Te at (0.000, 0.000, 0.000), P at (0.000, 0.000, 0.500), S at (0.500, 0.500, 0.000) and I at (0.000, 0.500, 0.500).

The value obtained for the energy above the most stable polymorph in this dataset is 0.00 eV per formula unit. Its spin magnetization is 1.100 μB per formula unit. As for the uncorrected formation energy: 758.0 meV per atom.

=====

No. 2
This record from Alexandria via LeMat-Bulk describes a relaxed structure of BePdAu3. The functional is PBE.

The structure belongs to space group C2/m (No. 12); the cell edges are 7.852, 8.077 and 5.468 Å and the angles 90.00°, 111.16° and 90.00°. The distinct sites, in fractional coordinates, are Be at (0.235, 0.000, 0.498), Pd at (0.074, 0.000, 0.783), Au at (0.069, 0.500, 0.778) and Au at (0.179, 0.247, 0.220).

The value obtained for the energy above the most stable polymorph in this dataset is 0.00 eV per formula unit. Its formation energy from the elements is -150 meV/atom. Its spin magnetization is 0.000 μB per formula unit.

=====

No. 3
This record from Alexandria via LeMat-Bulk describes a relaxed structure of Tm3Ga3Rh. The functional is PBE.

The structure belongs to space group C2/m (No. 12); the cell edges are 10.658, 4.121 and 14.304 Å and the angles 90.00°, 108.47° and 90.00°. The distinct sites, in fractional coordinates, are Tm at (0.027, 0.000, 0.381), Tm at (0.110, 0.000, 0.924), Tm at (0.237, 0.000, 0.236), Ga at (0.022, 0.500, 0.229), Ga at (0.109, 0.500, 0.075), Ga at (0.140, 0.500, 0.536) and Rh at (0.239, 0.500, 0.385).

Its formation energy from the elements is -732 meV/atom. Its spin magnetization is 0.000 μB per formula unit.

=====

No. 4
This record from Alexandria via LeMat-Bulk describes a relaxed structure of YTi3C. The functional is PBE.

The structure belongs to space group Pm-3m (No. 221); the cell edges are 4.754, 4.754 and 4.754 Å and the angles 90.00°, 90.00° and 90.00°. The distinct sites, in fractional coordinates, are Y at (0.000, 0.000, 0.000), Ti at (0.000, 0.000, 0.500) and C at (0.500, 0.500, 0.500).

The value obtained for the energy above the most stable polymorph in this dataset is 14.15 eV per formula unit. Its formation energy from the elements is 2745 meV/atom. Its spin magnetization is 1.574 μB per formula unit.